1.
# CsLiPuI5, optimized geometry, DFT PBE-GGA
# Energy relative to the elements, uncorrected   -1.2183 eV/atom
# VASP energy   -138.4 eV per cell
# Size of the total moment   5.000 μB per formula unit
data_CsLiPuI5
_chemical_formula_sum 'Cs4 Li4 Pu4 I20'
_cell_length_a 10.465
_cell_length_b 14.005
_cell_length_c 11.772
_cell_angle_alpha 90.00
_cell_angle_beta 113.56
_cell_angle_gamma 90.00
_symmetry_space_group_name_H-M 'C 1 2/c 1'
_symmetry_Int_Tables_number 15
_symmetry_space_group_name_Hall '-C 2yc'
loop_
_atom_site_label
_atom_site_type_symbol
_atom_site_fract_x
_atom_site_fract_y
_atom_site_fract_z
Cs1 Cs 0.000 0.154 0.250
Li1 Li 0.000 0.194 0.750
Pu1 Pu 0.000 0.500 0.000
I1 I 0.000 0.431 0.250
I2 I 0.102 0.296 0.600
I3 I 0.197 0.072 0.926


2.
# Cs2LiPuI5, optimized geometry, DFT PBE-GGA
# Energy relative to the elements, uncorrected   -1.2969 eV/atom
# VASP energy   -149.5 eV per cell
# Size of the total moment   6.000 μB per formula unit
data_Cs2LiPuI5
_chemical_formula_sum 'Cs8 Li4 Pu4 I20'
_cell_length_a 4.834
_cell_length_b 22.823
_cell_length_c 15.542
_cell_angle_alpha 90.00
_cell_angle_beta 90.00
_cell_angle_gamma 90.00
_symmetry_space_group_name_H-M 'C m c 21'
_symmetry_Int_Tables_number 36
_symmetry_space_group_name_Hall 'C 2c -2'
loop_
_atom_site_label
_atom_site_type_symbol
_atom_site_fract_x
_atom_site_fract_y
_atom_site_fract_z
Cs1 Cs 0.000 0.111 0.000
Cs2 Cs 0.000 0.121 0.623
Li1 Li 0.000 0.429 0.758
Pu1 Pu 0.000 0.208 0.332
I1 I 0.000 0.067 0.353
I2 I 0.000 0.285 0.971
I3 I 0.000 0.308 0.693
I4 I 0.000 0.347 0.314
I5 I 0.000 0.493 0.611


3.
# Cs3Li2PuI9, optimized geometry, DFT PBE-GGA
# Energy relative to the elements, uncorrected   -1.2354 eV/atom
# VASP energy   -53.2 eV per cell
# Size of the total moment   3.947 μB per formula unit
data_Cs3Li2PuI9
_chemical_formula_sum 'Cs3 Li2 Pu1 I9'
_cell_length_a 8.6224
_cell_length_b 8.6224
_cell_length_c 10.5828
_cell_angle_alpha 90.00
_cell_angle_beta 90.00
_cell_angle_gamma 120.00
_symmetry_space_group_name_H-M 'P -3 m 1'
_symmetry_Int_Tables_number 164
_symmetry_space_group_name_Hall '-P 3 2"'
loop_
_atom_site_label
_atom_site_type_symbol
_atom_site_fract_x
_atom_site_fract_y
_atom_site_fract_z
Cs1 Cs 0.0000 0.0000 0.0000
Cs2 Cs 0.3333 0.6667 0.6957
Li1 Li 0.3333 0.6667 0.1037
Pu1 Pu 0.0000 0.0000 0.5000
I1 I 0.0000 0.5000 0.0000
I2 I 0.1651 0.3302 0.3378


4.
# CsLiPu2I8, optimized geometry, DFT PBE-GGA
# Energy relative to the elements, uncorrected   -1.1218 eV/atom
# VASP energy   -57.3 eV per cell
# Size of the total moment   10.000 μB per formula unit
data_CsLiPu2I8
_chemical_formula_sum 'Cs1 Li1 Pu2 I8'
_cell_length_a 7.944
_cell_length_b 8.596
_cell_length_c 9.591
_cell_angle_alpha 89.90
_cell_angle_beta 89.92
_cell_angle_gamma 67.16
_symmetry_space_group_name_H-M 'P -1'
_symmetry_Int_Tables_number 2
_symmetry_space_group_name_Hall '-P 1'
loop_
_atom_site_label
_atom_site_type_symbol
_atom_site_fract_x
_atom_site_fract_y
_atom_site_fract_z
Cs1 Cs 0.000 0.000 0.000
Li1 Li 0.000 0.000 0.500
Pu1 Pu 0.001 0.499 0.259
I1 I 0.213 0.729 0.706
I2 I 0.216 0.725 0.291
I3 I 0.243 0.274 0.501
I4 I 0.247 0.309 0.999


5.
# Cs2LiPuI6, optimized geometry, DFT PBE-GGA
# Energy relative to the elements, uncorrected   -1.3130 eV/atom
# VASP energy   -40.4 eV per cell
# Size of the total moment   5.000 μB per formula unit
data_Cs2LiPuI6
_chemical_formula_sum 'Cs2 Li1 Pu1 I6'
_cell_length_a 8.4919
_cell_length_b 8.4919
_cell_length_c 7.3529
_cell_angle_alpha 90.00
_cell_angle_beta 90.00
_cell_angle_gamma 120.00
_symmetry_space_group_name_H-M 'P -3 m 1'
_symmetry_Int_Tables_number 164
_symmetry_space_group_name_Hall '-P 3 2"'
loop_
_atom_site_label
_atom_site_type_symbol
_atom_site_fract_x
_atom_site_fract_y
_atom_site_fract_z
Cs1 Cs 0.3333 0.6667 0.2412
Li1 Li 0.0000 0.0000 0.5000
Pu1 Pu 0.0000 0.0000 0.0000
I1 I 0.1662 0.3324 0.7436


6.
# CsLi4Pu3I12, optimized geometry, DFT PBE-GGA
# Energy relative to the elements, uncorrected   -1.1335 eV/atom
# VASP energy   -278.3 eV per cell
# Size of the total moment   17.000 μB per formula unit
data_CsLi4Pu3I12
_chemical_formula_sum 'Cs3 Li12 Pu9 I36'
_cell_length_a 16.8937
_cell_length_b 16.8937
_cell_length_c 11.4417
_cell_angle_alpha 90.00
_cell_angle_beta 90.00
_cell_angle_gamma 120.00
_symmetry_space_group_name_H-M 'R 3 2'
_symmetry_Int_Tables_number 155
_symmetry_space_group_name_Hall 'R 3 2"'
loop_
_atom_site_label
_atom_site_type_symbol
_atom_site_fract_x
_atom_site_fract_y
_atom_site_fract_z
Cs1 Cs 0.0000 0.0000 0.0000
Li1 Li 0.0000 0.0000 0.5000
Li2 Li 0.0000 0.4275 0.5000
Pu1 Pu 0.0000 0.5656 0.0000
I1 I 0.0000 0.5910 0.5000
I2 I 0.0000 0.8409 0.5000
I3 I 0.0565 0.2237 0.1782


7.
# CsLi2PuI8, optimized geometry, DFT PBE-GGA
# Energy relative to the elements, uncorrected   -0.9770 eV/atom
# VASP energy   -86.3 eV per cell
# Size of the total moment   5.000 μB per formula unit
data_CsLi2PuI8
_chemical_formula_sum 'Cs2 Li4 Pu2 I16'
_cell_length_a 14.374
_cell_length_b 8.699
_cell_length_c 10.735
_cell_angle_alpha 90.00
_cell_angle_beta 124.26
_cell_angle_gamma 90.00
_symmetry_space_group_name_H-M 'C 1 2/m 1'
_symmetry_Int_Tables_number 12
_symmetry_space_group_name_Hall '-C 2y'
loop_
_atom_site_label
_atom_site_type_symbol
_atom_site_fract_x
_atom_site_fract_y
_atom_site_fract_z
Cs1 Cs 0.000 0.000 0.000
Li1 Li 0.044 0.500 0.354
Pu1 Pu 0.000 0.000 0.500
I1 I 0.101 0.500 0.146
I2 I 0.102 0.253 0.744
I3 I 0.210 0.000 0.478


8.
# Cs2Li2PuI6, optimized geometry, DFT PBE-GGA
# Energy relative to the elements, uncorrected   -1.2185 eV/atom
# VASP energy   -127.7 eV per cell
# Size of the total moment   6.000 μB per formula unit
data_Cs2Li2PuI6
_chemical_formula_sum 'Cs6 Li6 Pu3 I18'
_cell_length_a 8.8462
_cell_length_b 8.8462
_cell_length_c 24.0976
_cell_angle_alpha 90.00
_cell_angle_beta 90.00
_cell_angle_gamma 120.00
_symmetry_space_group_name_H-M 'R -3 m'
_symmetry_Int_Tables_number 166
_symmetry_space_group_name_Hall '-R 3 2"'
loop_
_atom_site_label
_atom_site_type_symbol
_atom_site_fract_x
_atom_site_fract_y
_atom_site_fract_z
Cs1 Cs 0.0000 0.0000 0.2174
Li1 Li 0.0000 0.0000 0.4172
Pu1 Pu 0.0000 0.0000 0.0000
I1 I 0.0112 0.5056 0.7525